VASP calculation (PBE-GGA) on a relaxed structure of LaPrCdCo.

a b c (Å): 5.2801 5.2801 5.2801
angles (deg): 60.00 60.00 60.00
Fractional positions:
La 0.0000 0.0000 0.0000
Pr 0.5000 0.5000 0.5000
Cd 0.7500 0.7500 0.7500
Co 0.2500 0.2500 0.2500

energy relative to the elements = -0.03 eV per atom
total energy = -4.463 eV/atom
total magnetization = 0.6 μB/cell
DOS(E_F) = 0.8323 states/eV per atom
calculated density = 7.20 g/cm3

---

VASP calculation (PBE-GGA) on a relaxed structure of Zn3Ga2Au7.

a b c (Å): 15.4493 15.4493 3.8314
angles (deg): 90.00 90.00 165.20
Fractional positions:
Zn 0.0000 0.0000 0.0000
Zn 0.2160 0.7840 0.0000
Zn 0.7840 0.2160 0.0000
Ga 0.3656 0.6344 0.5000
Ga 0.6344 0.3656 0.5000
Au 0.0755 0.9245 0.5000
Au 0.2852 0.7148 0.5000
Au 0.4261 0.5739 0.0000
Au 0.5000 0.5000 0.5000
Au 0.5739 0.4261 0.0000
Au 0.7148 0.2852 0.5000
Au 0.9245 0.0755 0.5000

energy relative to the elements = -0.09 eV per atom
total energy = -2.827 eV/atom
total magnetization = 0.0 μB/cell
DOS(E_F) = 0.2660 states/eV per atom
calculated density = 12.19 g/cm3

---

VASP calculation (PBE-GGA) on a relaxed structure of Dy3TmSc2S6.

a b c (Å): 6.6228 6.6228 6.6431
angles (deg): 99.53 99.53 120.20
Fractional positions:
Dy 0.0000 0.0000 0.0000
Dy 0.3352 0.6648 0.0000
Dy 0.6648 0.3352 0.0000
Tm 0.5000 0.5000 0.5000
Sc 0.1669 0.8331 0.5000
Sc 0.8331 0.1669 0.5000
S 0.0817 0.4205 0.2619
S 0.2393 0.2393 0.7360
S 0.4205 0.0817 0.2619
S 0.5795 0.9183 0.7381
S 0.7607 0.7607 0.2640
S 0.9183 0.5795 0.7381

total energy = -6.579 eV/atom
formation energy without anion corrections = -23.239 eV/f.u.
total magnetization = 0.0 μB/cell
DOS(E_F) = 0.4452 states/eV per atom
calculated density = 6.56 g/cm3

---

VASP calculation (PBE-GGA) on a relaxed structure of PS3.

a b c (Å): 6.0690 6.0690 6.0690
angles (deg): 150.04 116.55 71.74
Fractional positions:
P 0.0000 0.0000 0.0000
S 0.1314 0.4034 0.7281
S 0.4658 0.9658 0.5000
S 0.6753 0.4034 0.2719

total energy = -4.039 eV/atom
formation energy without anion corrections = 1.635 eV/f.u.
E above lowest polymorph = 0.384 eV per atom
total magnetization = 0.0 μB/cell
DOS(E_F) = 0.2551 states/eV per atom
calculated density = 2.14 g/cm3